An optimized crystal structure of ZnSeCl2. Source: Alexandria via LeMat-Bulk, functional PBE.

```
ZnSeCl2
1.0
3.445 0.000 0.000
0.000 4.050 0.000
0.000 0.000 6.186
Zn Se Cl
1 1 2
Cartesian
0.000 0.000 0.000 Zn
1.723 0.000 3.093 Se
0.000 2.025 3.093 Cl
1.723 2.025 0.000 Cl
```

Output
ΔE_f (raw) = -1.2 kJ per mole of atoms
calculated volume = 86.3 Å³/cell
space group = No. 47
total DFT energy (no corrections) = -2.125 eV per atom
D(E_F) = 0.8 states/eV/f.u.

An optimized crystal structure of Zn2SeCl. Source: Alexandria via LeMat-Bulk, functional PBE.

```
Zn2SeCl
1.0
3.712 0.000 0.000
0.000 7.184 0.000
0.000 0.000 7.255
Zn Se Cl
4 2 2
Cartesian
0.000 1.711 0.000 Zn
0.000 5.473 0.000 Zn
1.856 1.881 3.627 Zn
1.856 5.302 3.627 Zn
0.000 3.592 3.627 Se
1.856 0.000 0.000 Se
0.000 0.000 3.627 Cl
1.856 3.592 0.000 Cl
```

Output
ΔE_f (raw) = -28.0 kJ per mole of atoms
calculated volume = 193.5 Å³/cell
space group = No. 71
total DFT energy (no corrections) = -2.260 eV per atom
D(E_F) = 1.1 states/eV/f.u.

An optimized crystal structure of Zn4SeCl. Source: Alexandria via LeMat-Bulk, functional PBE.

```
Zn4SeCl
1.0
0.000 3.801 3.801
3.801 0.000 3.801
3.801 3.801 0.000
Zn Se Cl
4 1 1
Cartesian
2.855 2.855 2.855 Zn
4.747 4.747 2.855 Zn
4.747 2.855 4.747 Zn
2.855 4.747 4.747 Zn
5.702 5.702 5.702 Se
0.000 0.000 0.000 Cl
```

Output
ΔE_f (raw) = 7.2 kJ per mole of atoms
calculated volume = 109.8 Å³/cell
space group = No. 216
total DFT energy (no corrections) = -1.663 eV per atom
D(E_F) = 3.6 states/eV/f.u.

An optimized crystal structure of Zn2SeCl. Source: Alexandria via LeMat-Bulk, functional PBE.

```
Zn2SeCl
1.0
6.777 0.000 0.000
0.000 6.777 0.000
0.000 0.000 6.777
Zn Se Cl
8 4 4
Cartesian
0.000 0.000 0.000 Zn
0.000 3.388 3.388 Zn
1.694 1.694 1.694 Zn
1.694 5.082 5.082 Zn
3.388 0.000 3.388 Zn
3.388 3.388 0.000 Zn
5.082 1.694 5.082 Zn
5.082 5.082 1.694 Zn
0.000 0.000 3.388 Se
0.000 3.388 0.000 Se
3.388 0.000 0.000 Se
3.388 3.388 3.388 Se
1.694 1.694 5.082 Cl
1.694 5.082 1.694 Cl
5.082 1.694 1.694 Cl
5.082 5.082 5.082 Cl
```

Output
ΔE_f (raw) = 21.1 kJ per mole of atoms
calculated volume = 311.2 Å³/cell
space group = No. 216
total DFT energy (no corrections) = -1.752 eV per atom
D(E_F) = 3.0 states/eV/f.u.